Record 1
# NdTm2Pt9, optimized geometry, DFT GGA-PBE
data_NdTm2Pt9
_chemical_formula_sum 'Nd1 Tm2 Pt9'
_symmetry_space_group_name_H-M 'P 1'
_symmetry_Int_Tables_number 1
_symmetry_space_group_name_Hall 'P 1'
_cell_length_a 9.3500
_cell_length_b 9.3500
_cell_length_c 9.3500
_cell_angle_alpha 33.70
_cell_angle_beta 33.70
_cell_angle_gamma 33.70
loop_
_atom_site_label
_atom_site_fract_x
_atom_site_fract_y
_atom_site_fract_z
Nd1 0.0000 0.0000 0.0000
Tm1 0.1401 0.1401 0.1401
Tm2 0.8599 0.8599 0.8599
Pt1 0.0810 0.5888 0.5888
Pt2 0.3332 0.3332 0.3332
Pt3 0.4112 0.4112 0.9190
Pt4 0.4112 0.9190 0.4112
Pt5 0.5000 0.5000 0.5000
Pt6 0.5888 0.0810 0.5888
Pt7 0.5888 0.5888 0.0810
Pt8 0.6668 0.6668 0.6668
Pt9 0.9190 0.4112 0.4112
# DFT total energy: -0.4873 Ry per atom
# size of the total moment: 0.00 μB/cell
# density: 16.6 g/cm³

Record 2
# ZrScSe2Br, optimized geometry, DFT GGA-PBE
data_ZrScSe2Br
_chemical_formula_sum 'Zr1 Sc1 Se2 Br1'
_symmetry_space_group_name_H-M 'P 1'
_symmetry_Int_Tables_number 1
_symmetry_space_group_name_Hall 'P 1'
_cell_length_a 5.2318
_cell_length_b 5.2318
_cell_length_c 5.2081
_cell_angle_alpha 90.00
_cell_angle_beta 90.00
_cell_angle_gamma 90.00
loop_
_atom_site_label
_atom_site_fract_x
_atom_site_fract_y
_atom_site_fract_z
Zr1 0.0000 0.0000 0.0000
Sc1 0.5000 0.5000 0.5000
Se1 0.0000 0.5000 0.0000
Se2 0.5000 0.0000 0.0000
Br1 0.0000 0.0000 0.5000
# uncorrected formation energy: -2.97 eV/f.u.
# size of the total moment: 1.43 μB/cell
# density: 4.4 g/cm³

Record 3
# ScBiPS2, optimized geometry, DFT GGA-PBE
data_ScBiPS2
_chemical_formula_sum 'Sc1 Bi1 P1 S2'
_symmetry_space_group_name_H-M 'P 1'
_symmetry_Int_Tables_number 1
_symmetry_space_group_name_Hall 'P 1'
_cell_length_a 4.8567
_cell_length_b 4.8567
_cell_length_c 5.0798
_cell_angle_alpha 90.00
_cell_angle_beta 90.00
_cell_angle_gamma 90.00
loop_
_atom_site_label
_atom_site_fract_x
_atom_site_fract_y
_atom_site_fract_z
Sc1 0.0000 0.0000 0.0000
Bi1 0.5000 0.5000 0.5000
P1 0.0000 0.0000 0.5000
S1 0.0000 0.5000 0.0000
S2 0.5000 0.0000 0.0000
# uncorrected formation energy: -1.16 eV/f.u.
# size of the total moment: 0.00 μB/cell
# density: 4.8 g/cm³

Record 4
# BeZnPt2, optimized geometry, DFT GGA-PBE
data_BeZnPt2
_chemical_formula_sum 'Be4 Zn4 Pt8'
_symmetry_space_group_name_H-M 'P 1'
_symmetry_Int_Tables_number 1
_symmetry_space_group_name_Hall 'P 1'
_cell_length_a 6.0921
_cell_length_b 6.0921
_cell_length_c 6.0921
_cell_angle_alpha 90.00
_cell_angle_beta 90.00
_cell_angle_gamma 90.00
loop_
_atom_site_label
_atom_site_fract_x
_atom_site_fract_y
_atom_site_fract_z
Be1 0.0000 0.0000 0.0000
Be2 0.0000 0.5000 0.5000
Be3 0.5000 0.0000 0.5000
Be4 0.5000 0.5000 0.0000
Zn1 0.2500 0.2500 0.7500
Zn2 0.2500 0.7500 0.2500
Zn3 0.7500 0.2500 0.2500
Zn4 0.7500 0.7500 0.7500
Pt1 0.0000 0.0000 0.5000
Pt2 0.0000 0.5000 0.0000
Pt3 0.2500 0.2500 0.2500
Pt4 0.2500 0.7500 0.7500
Pt5 0.5000 0.0000 0.0000
Pt6 0.5000 0.5000 0.5000
Pt7 0.7500 0.2500 0.7500
Pt8 0.7500 0.7500 0.2500
# DFT total energy: -0.3284 Ry per atom
# size of the total moment: 0.00 μB/cell
# density: 13.6 g/cm³

Record 5
# SnHBr, optimized geometry, DFT GGA-PBE
data_SnHBr
_chemical_formula_sum 'Sn2 H2 Br2'
_symmetry_space_group_name_H-M 'P 1'
_symmetry_Int_Tables_number 1
_symmetry_space_group_name_Hall 'P 1'
_cell_length_a 4.7257
_cell_length_b 4.7375
_cell_length_c 7.8897
_cell_angle_alpha 82.77
_cell_angle_beta 83.13
_cell_angle_gamma 78.37
loop_
_atom_site_label
_atom_site_fract_x
_atom_site_fract_y
_atom_site_fract_z
Sn1 0.2215 0.2218 0.4988
Sn2 0.7785 0.7782 0.5012
H1 0.0650 0.9394 0.0021
H2 0.9350 0.0606 0.9979
Br1 0.4583 0.4554 0.7586
Br2 0.5417 0.5446 0.2414
# DFT total energy: -0.2387 Ry per atom
# size of the total moment: 0.00 μB/cell
# density: 3.9 g/cm³

Record 6
# NaPm2Ga3Pt4, optimized geometry, DFT GGA-PBE
data_NaPm2Ga3Pt4
_chemical_formula_sum 'Na1 Pm2 Ga3 Pt4'
_symmetry_space_group_name_H-M 'P 1'
_symmetry_Int_Tables_number 1
_symmetry_space_group_name_Hall 'P 1'
_cell_length_a 4.1069
_cell_length_b 4.1069
_cell_length_c 11.7329
_cell_angle_alpha 90.00
_cell_angle_beta 90.00
_cell_angle_gamma 90.00
loop_
_atom_site_label
_atom_site_fract_x
_atom_site_fract_y
_atom_site_fract_z
Na1 0.0000 0.0000 0.0000
Pm1 0.0000 0.5000 0.7403
Pm2 0.5000 0.0000 0.2597
Ga1 0.0000 0.5000 0.3728
Ga2 0.5000 0.0000 0.6272
Ga3 0.5000 0.5000 0.0000
Pt1 0.0000 0.0000 0.5000
Pt2 0.0000 0.5000 0.1594
Pt3 0.5000 0.0000 0.8406
Pt4 0.5000 0.5000 0.5000
# DFT total energy: -0.3848 Ry per atom
# size of the total moment: 0.00 μB/cell
# density: 10.9 g/cm³

> Look up the density of the sixth one.

10.9 g/cm³